# KSr2Se

Crystalline KSr2Se at its relaxed geometry (PBE, Alexandria).

ΔE_f (raw), eV/atom: -0.8841

POSCAR file:
```
KSr2Se
1.0
12.904 0.000 0.004
0.000 4.354 0.000
-6.588 0.000 13.504
Sr K Se
8 4 4
Direct
0.500 0.000 0.000
0.833 0.500 0.171
0.167 0.000 0.329
0.000 0.000 0.000
0.500 0.500 0.500
0.833 0.000 0.671
0.167 0.500 0.829
0.000 0.500 0.500
0.664 0.000 0.336
0.664 0.500 0.836
0.336 0.000 0.664
0.336 0.500 0.164
0.930 0.000 0.337
0.070 0.500 0.163
0.070 0.000 0.663
0.930 0.500 0.837
```

---

# KSr2Se

Crystalline KSr2Se at its relaxed geometry (PBE, Alexandria).

ΔE_f (raw), eV/atom: -0.2029

POSCAR file:
```
KSr2Se
1.0
6.221 0.000 0.000
3.111 5.388 0.000
3.111 1.796 5.080
Se Sr K
1 2 1
Direct
0.750 0.750 0.750
0.250 0.250 0.250
0.000 0.000 0.000
0.500 0.500 0.500
```